Entry 1:
A plane-wave DFT calculation with PBE was carried out for an optimized crystal structure of SmYErZn.

Calculated values
Formation energy from the elements: 3.4 kJ per mole of atoms
ΔE to the lowest computed polymorph: 0.2024 eV per atom
DFT total energy: -4.22 eV per atom
Calculated volume: 27.2 Å³/atom
SG: F-43m
M_tot: 0.0 Bohr magnetons per cell

abc: 5.361 5.361 5.361
angles: 60.00 60.00 60.00
Fractional positions:
Sm: 0.000 0.000 0.000
Y: 0.500 0.500 0.500
Er: 0.250 0.250 0.250
Zn: 0.750 0.750 0.750

Entry 2:
A plane-wave DFT calculation with PBE was carried out for an optimized crystal structure of SmYErZr.

Calculated values
Formation energy from the elements: 21.3 kJ per mole of atoms
DFT total energy: -5.85 eV per atom
Calculated volume: 29.6 Å³/atom
SG: F-43m
M_tot: 1.9 Bohr magnetons per cell

abc: 5.513 5.513 5.513
angles: 60.00 60.00 60.00
Fractional positions:
Sm: 0.000 0.000 0.000
Y: 0.250 0.250 0.250
Er: 0.750 0.750 0.750
Zr: 0.500 0.500 0.500

Entry 3:
A plane-wave DFT calculation with PBE was carried out for an optimized crystal structure of Sm3Y2Er6Zr.

Calculated values
Formation energy from the elements: 4.3 kJ per mole of atoms
DFT total energy: -5.21 eV per atom
Calculated volume: 30.7 Å³/atom
SG: C2/m
M_tot: 0.0 Bohr magnetons per cell

abc: 6.096 6.096 11.615
angles: 95.00 95.00 119.93
Fractional positions:
Sm: 0.000 0.000 0.000
Sm: 0.334 0.666 0.000
Sm: 0.666 0.334 0.000
Y: 0.167 0.833 0.500
Y: 0.833 0.167 0.500
Er: 0.094 0.419 0.256
Er: 0.255 0.255 0.743
Er: 0.419 0.094 0.256
Er: 0.581 0.906 0.744
Er: 0.745 0.745 0.257
Er: 0.906 0.581 0.744
Zr: 0.500 0.500 0.500

Entry 4:
A plane-wave DFT calculation with PBE was carried out for an optimized crystal structure of Sm2Y3Er6Zr.

Calculated values
Formation energy from the elements: 5.0 kJ per mole of atoms
DFT total energy: -5.34 eV per atom
Calculated volume: 30.6 Å³/atom
SG: C2/m
M_tot: 0.0 Bohr magnetons per cell

abc: 6.081 6.081 11.630
angles: 94.98 94.98 119.93
Fractional positions:
Sm: 0.167 0.833 0.000
Sm: 0.833 0.167 0.000
Y: 0.000 0.000 0.500
Y: 0.334 0.666 0.500
Y: 0.666 0.334 0.500
Er: 0.092 0.418 0.755
Er: 0.256 0.256 0.245
Er: 0.418 0.092 0.755
Er: 0.582 0.908 0.245
Er: 0.744 0.744 0.755
Er: 0.908 0.582 0.245
Zr: 0.500 0.500 0.000

- Among the records above, which one has the highest formation energy from the elements?
  SmYErZr

- calculated volume of number 4 (Sm2Y3Er6Zr)?
  30.6 Å³/atom